Version i
Compound: DyLuIr
Source: the Alexandria database
Functional: PBE
Structure: optimized geometry

Values from the calculation:
Volume, Å³/atom: 25.4
SG: No. 216
Size of the total moment, μB/atom: 0.000
Crystal system: cubic

Geometry as extended XYZ:
```
3
Lattice="-0.378 -1.284 4.565 3.916 -0.618 2.629 1.070 3.106 3.441" Properties=species:S:1:pos:R:3 pbc="T T T"
Dy 2.304 0.602 5.317
Lu 0.000 0.000 0.000
Ir 1.152 0.301 2.659
```

---

Version ii
Compound: DyLuIr
Source: the Alexandria database
Functional: PBE
Structure: optimized geometry

Values from the calculation:
Volume, Å³/atom: 24.6
SG: No. 107
Size of the total moment, μB/atom: 0.000
Crystal system: tetragonal

Geometry as extended XYZ:
```
3
Lattice="-3.191 1.154 0.456 -1.241 -2.944 -1.233 2.172 -1.517 6.190" Properties=species:S:1:pos:R:3 pbc="T T T"
Lu -0.003 -0.188 0.451
Dy -0.026 -1.433 3.447
Ir -2.231 -1.686 1.514
```

---

Most stable structure - version i; separation to the second - 0.127 eV/atom.